# 1
Compound: CeErRu2
Source: Alexandria
Functional: PBE-GGA
Structure: relaxed

The calculation puts the volume at 19.865 A^3/atom. The formation energy comes out at -413 meV/atom. As for the density of states at the Fermi level: 0.379 states/eV per atom.

The space group is P4/mmm (No. 123) and the conventional cell measures 3.413, 3.413 and 6.820 Å, with angles of 90.00, 90.00 and 90.00 degrees. The distinct sites, in fractional coordinates, are Ce at (0.000, 0.000, 0.000), Er at (0.000, 0.000, 0.500) and Ru at (0.500, 0.500, 0.238).


# 2
Compound: Cd2InAg
Source: Alexandria
Functional: PBE-GGA
Structure: relaxed

The calculation puts the volume at 22.211 A^3/atom. The formation energy comes out at -2 meV/atom. As for the density of states at the Fermi level: 0.343 states/eV per atom.

The space group is P2_1/m (No. 11) and the conventional cell measures 3.360, 9.824 and 5.618 Å, with angles of 90.00, 106.63 and 90.00 degrees. The distinct sites, in fractional coordinates, are Cd at (0.137, 0.029, 0.268), In at (0.462, 0.250, 0.943) and Ag at (0.260, 0.750, 0.509).


# 3
Compound: ScRe2Ni
Source: Alexandria
Functional: PBE-GGA
Structure: relaxed

Its polymorph energy (0 for the lowest one) is 0.353 eV per atom. The calculation puts the volume at 15.270 A^3/atom. The formation energy comes out at 275 meV/atom. As for the density of states at the Fermi level: 1.337 states/eV per atom.

The space group is R-3m (No. 166, hexagonal axes) and the conventional cell measures 2.8006, 2.8006 and 26.9765 Å, with angles of 90.00, 90.00 and 120.00 degrees. The distinct sites, in fractional coordinates, are Sc at (0.0000, 0.0000, 0.0000), Re at (0.0000, 0.0000, 0.2428) and Ni at (0.0000, 0.0000, 0.5000).


# 4
Compound: BaDyZn2Au5
Source: Alexandria
Functional: PBE-GGA
Structure: relaxed

The calculation puts the volume at 23.312 A^3/atom. The formation energy comes out at -441 meV/atom. As for the density of states at the Fermi level: 0.486 states/eV per atom.

The space group is P4/mmm (No. 123) and the conventional cell measures 5.081, 5.081 and 8.126 Å, with angles of 90.00, 90.00 and 90.00 degrees. The distinct sites, in fractional coordinates, are Ba at (0.000, 0.000, 0.000), Dy at (0.000, 0.000, 0.500), Zn at (0.500, 0.500, 0.329), Au at (0.000, 0.500, 0.299) and Au at (0.500, 0.500, 0.000).


# 5
Compound: NbHgN2O
Source: Alexandria
Functional: PBE-GGA
Structure: relaxed

The calculation puts the volume at 13.736 A^3/atom. The formation energy from raw total energies comes out at 1.735 eV per atom. As for the density of states at the Fermi level: 1.113 states/eV per atom.

The space group is P4/mmm (No. 123) and the conventional cell measures 4.118, 4.118 and 4.050 Å, with angles of 90.00, 90.00 and 90.00 degrees. The distinct sites, in fractional coordinates, are Nb at (0.000, 0.000, 0.000), Hg at (0.500, 0.500, 0.500), N at (0.000, 0.500, 0.500) and O at (0.500, 0.500, 0.000).


# 6
Compound: Fe4Ni4Pt
Source: Alexandria
Functional: PBE-GGA
Structure: relaxed

The calculation puts the volume at 11.912 A^3/atom. The formation energy comes out at -52 meV/atom. As for the density of states at the Fermi level: 1.019 states/eV per atom.

The space group is I4/mmm (No. 139) and the conventional cell measures 7.612, 7.612 and 3.701 Å, with angles of 90.00, 90.00 and 90.00 degrees. The distinct sites, in fractional coordinates, are Fe at (0.171, 0.171, 0.000), Ni at (0.000, 0.338, 0.500) and Pt at (0.000, 0.000, 0.500).


# 7
Compound: PaTaGe2
Source: Alexandria
Functional: PBE-GGA
Structure: relaxed

Its polymorph energy (0 for the lowest one) is 0.330 eV per atom. The calculation puts the volume at 20.506 A^3/atom. The formation energy comes out at 106 meV/atom. As for the density of states at the Fermi level: 0.847 states/eV per atom.

The space group is R-3m (No. 166, hexagonal axes) and the conventional cell measures 3.0047, 3.0047 and 31.4737 Å, with angles of 90.00, 90.00 and 120.00 degrees. The distinct sites, in fractional coordinates, are Pa at (0.0000, 0.0000, 0.0000), Ta at (0.0000, 0.0000, 0.5000) and Ge at (0.0000, 0.0000, 0.0955).


# 8
Compound: Ca4InHgPb2
Source: Alexandria
Functional: PBE-GGA
Structure: relaxed

The calculation puts the volume at 29.258 A^3/atom. The formation energy comes out at -535 meV/atom. As for the density of states at the Fermi level: 0.612 states/eV per atom.

The space group is R-3m (No. 166, hexagonal axes) and the conventional cell measures 5.4856, 5.4856 and 26.9454 Å, with angles of 90.00, 90.00 and 120.00 degrees. The distinct sites, in fractional coordinates, are Ca at (0.0000, 0.0000, 0.1233), Ca at (0.0000, 0.0000, 0.3733), In at (0.0000, 0.0000, 0.5000), Hg at (0.0000, 0.0000, 0.0000) and Pb at (0.0000, 0.0000, 0.2488).


no.,total magnetic moment (μB per formula unit)
1,0.000
2,0.000
3,0.000
4,0.000
5,0.000
6,13.512
7,0.000
8,0.000